Density functional theory data (PBE-GGA) for DySi2NiRu after structural relaxation.

```
DySi2NiRu
1.0
3.9747 0.0000 0.0000
0.0000 3.9747 0.0000
-1.9874 -1.9874 5.0006
Ni Si Dy Ru
1 2 1 1
direct
0.7500 0.2500 0.5000
0.3765 0.3765 0.7530
0.6235 0.6235 0.2470
0.0000 0.0000 0.0000
0.2500 0.7500 0.5000
```

raw formation energy: -0.87 eV/atom
symmetry: I-4m2 (119)

=====

Density functional theory data (PBE-GGA) for KVSe2 after structural relaxation.

```
KVSe2
1.0
6.8785 0.0000 0.0000
0.0000 3.4037 0.0000
0.0000 0.0000 17.2699
V K Se
4 4 8
direct
0.7502 0.2500 0.1850
0.2502 0.2500 0.3150
0.2498 0.7500 0.8150
0.7498 0.7500 0.6850
0.2499 0.2500 0.5848
0.2501 0.7500 0.0848
0.7499 0.2500 0.9152
0.7501 0.7500 0.4152
0.2503 0.7500 0.4215
0.9999 0.2500 0.7499
0.7497 0.2500 0.5785
0.2497 0.2500 0.9215
0.7503 0.7500 0.0785
0.0001 0.7500 0.2501
0.5001 0.7500 0.2499
0.4999 0.2500 0.7501
```

raw formation energy: -0.72 eV/atom
symmetry: Cmcm (63)

=====

Density functional theory data (PBE-GGA) for CrOsRh6 after structural relaxation.

```
CrOsRh6
1.0
3.8436 0.0000 0.0000
0.0000 5.4035 -0.0338
0.0000 0.0349 5.4035
Rh Os Cr
6 1 1
direct
0.0000 0.2510 0.7490
0.0000 0.7489 0.7489
0.0000 0.7490 0.2510
0.5000 0.5000 0.0000
0.5000 0.0000 0.5000
0.0000 0.2511 0.2511
0.5000 0.5000 0.5000
0.5000 0.0000 0.0000
```

polymorph energy (0 for the lowest one): 0.0 meV/atom
symmetry: P4/mmm (123)
energy relative to the elements: -0.02 eV per atom

=====

The records above yield spin magnetization values of 0.00 7.99 2.24 μB/cell, respectively.